# 1
Compound: KNpHg
Source: OQMD via LeMat-Bulk
Functional: PBE-GGA
Structure: optimized geometry

a = 5.4638 Å, b = 5.4638 Å, c = 5.4638 Å
α = 60.00°, β = 60.00°, γ = 60.00°
Site moments in Bohr magnetons follow the coordinates.
Fractional positions:
Hg  0.0000  0.0000  0.0000  0.13
K  0.2500  0.2500  0.2500  0.04
Np  0.7500  0.7500  0.7500  4.66

- ΔE to the lowest computed polymorph: 0 meV per atom
- Total magnetization: 5.8 μB/f.u.
- Space-group type: No. 216


# 2
Compound: SrFe3
Source: OQMD via LeMat-Bulk
Functional: PBE-GGA
Structure: optimized geometry

a = 4.5378 Å, b = 4.5378 Å, c = 4.5378 Å
α = 60.00°, β = 60.00°, γ = 60.00°
Site moments in Bohr magnetons follow the coordinates.
Fractional positions:
Fe  0.0000  0.0000  0.0000  2.49
Fe  0.2500  0.2500  0.2500  2.64
Fe  0.5000  0.5000  0.5000  2.49
Sr  0.7500  0.7500  0.7500  -0.09

- Total magnetization: 7.3 μB/f.u.
- Total DFT energy (no corrections): -23.177 eV/f.u.
- Space-group type: No. 225


# 3
Compound: Hf2In2AgAu
Source: OQMD via LeMat-Bulk
Functional: PBE-GGA
Structure: optimized geometry

a = 7.9211 Å, b = 4.5733 Å, c = 15.1684 Å
α = 90.00°, β = 100.01°, γ = 90.00°
Fractional positions:
Ag  0.9994  0.0000  0.4994
Ag  0.5002  0.5000  0.4996
Ag  0.2500  0.5000  0.7505
Ag  0.9997  0.5000  0.9998
Au  0.5004  0.0000  0.0001
Au  0.7501  0.5000  0.2499
Au  0.2500  0.0000  0.2504
Au  0.7501  0.0000  0.7501
Hf  0.6842  0.5000  0.0625
Hf  0.1914  0.0000  0.0638
Hf  0.4368  0.5000  0.3114
Hf  0.9375  0.0000  0.3114
Hf  0.1866  0.5000  0.5621
Hf  0.6887  0.0000  0.5640
Hf  0.9330  0.5000  0.8109
Hf  0.4420  0.0000  0.8141
In  0.0616  0.5000  0.1854
In  0.5629  0.0000  0.1878
In  0.8128  0.5000  0.4391
In  0.3133  0.0000  0.4394
In  0.5577  0.5000  0.6860
In  0.0665  0.0000  0.6870
In  0.3080  0.5000  0.9361
In  0.8172  0.0000  0.9392

- Total magnetization: 0.0 μB/f.u.
- Total DFT energy (no corrections): -32.516 eV/f.u.
- Space-group type: No. 6


# 4
Compound: GdErCu2Si2
Source: OQMD via LeMat-Bulk
Functional: PBE-GGA
Structure: optimized geometry

a = 4.1380 Å, b = 4.1380 Å, c = 7.4888 Å
α = 90.00°, β = 90.00°, γ = 120.00°
Fractional positions:
Cu  0.3333  0.6667  0.2552
Cu  0.6667  0.3333  0.7448
Er  0.0000  0.0000  0.5000
Gd  0.0000  0.0000  0.0000
Si  0.6667  0.3333  0.2547
Si  0.3333  0.6667  0.7453

- Total magnetization: 0.0 μB/f.u.
- Total DFT energy (no corrections): -31.505 eV/f.u.
- Space-group type: No. 164


# 5
Compound: ZnTc2Hg
Source: OQMD via LeMat-Bulk
Functional: PBE-GGA
Structure: optimized geometry

a = 4.4849 Å, b = 4.4849 Å, c = 4.4849 Å
α = 60.00°, β = 60.00°, γ = 60.00°
Fractional positions:
Hg  0.2500  0.2500  0.2500
Tc  0.0000  0.0000  0.0000
Tc  0.7500  0.7500  0.7500
Zn  0.5000  0.5000  0.5000

- Total magnetization: 0.0 μB/f.u.
- Formation energy from the elements: 0.46 eV/atom
- Space-group type: No. 216


# 6
Compound: YMgCuTeSe2
Source: OQMD via LeMat-Bulk
Functional: PBE-GGA
Structure: optimized geometry

a = 6.9591 Å, b = 6.9591 Å, c = 10.9665 Å
α = 90.00°, β = 90.00°, γ = 147.30°
Fractional positions:
Cu  0.9779  0.0221  0.2500
Cu  0.0221  0.9779  0.7500
Mg  0.2965  0.7035  0.2500
Mg  0.7035  0.2965  0.7500
Se  0.8579  0.1421  0.0795
Se  0.8579  0.1421  0.4205
Se  0.1421  0.8579  0.5795
Se  0.1421  0.8579  0.9205
Te  0.6121  0.3879  0.2500
Te  0.3879  0.6121  0.7500
Y  0.5000  0.5000  0.0000
Y  0.5000  0.5000  0.5000

- Total magnetization: 0.0 μB/f.u.
- Total DFT energy (no corrections): -28.138 eV/f.u.
- Space-group type: No. 63


# 7
Compound: LaSmTc
Source: OQMD via LeMat-Bulk
Functional: PBE-GGA
Structure: optimized geometry

a = 4.8431 Å, b = 4.8431 Å, c = 4.8431 Å
α = 60.00°, β = 60.00°, γ = 60.00°
Site moments in Bohr magnetons follow the coordinates.
Fractional positions:
La  0.2500  0.2500  0.2500  -0.01
Sm  0.0000  0.0000  0.0000  -0.02
Tc  0.7500  0.7500  0.7500  0.37

- ΔE to the lowest computed polymorph: 0 meV per atom
- Total magnetization: 0.4 μB/f.u.
- Formation energy from the elements: 0.83 eV/atom
- Space-group type: No. 216


# 8
Compound: ScCoCu4Sn2
Source: OQMD via LeMat-Bulk
Functional: PBE-GGA
Structure: optimized geometry

a = 4.4464 Å, b = 4.4464 Å, c = 6.1936 Å
α = 90.00°, β = 90.00°, γ = 90.00°
Site moments in Bohr magnetons follow the coordinates.
Fractional positions:
Co  0.0000  0.0000  0.5000  -0.21
Cu  0.5000  0.0000  0.2673  0.00
Cu  0.0000  0.5000  0.2673  0.00
Cu  0.5000  0.0000  0.7327  0.00
Cu  0.0000  0.5000  0.7327  0.00
Sc  0.5000  0.5000  0.0000  -0.01
Sn  0.0000  0.0000  0.0000  0.00
Sn  0.5000  0.5000  0.5000  0.00

- Total magnetization: 0.2 μB/f.u.
- Total DFT energy (no corrections): -36.553 eV/f.u.
- Space-group type: No. 123


# 9
Compound: Nd2Sm2CI3Cl2
Source: OQMD via LeMat-Bulk
Functional: PBE-GGA
Structure: optimized geometry

a = 9.2348 Å, b = 9.2348 Å, c = 8.7818 Å
α = 102.57°, β = 102.57°, γ = 25.05°
Site moments in Bohr magnetons follow the coordinates.
Fractional positions:
C  0.5000  0.5000  0.0000  0.00
Cl  0.8318  0.8318  0.1492  0.00
Cl  0.1682  0.1682  0.8508  0.00
I  0.1706  0.1706  0.3496  0.00
I  0.5000  0.5000  0.5000  0.00
I  0.8294  0.8294  0.6504  0.00
Nd  0.6432  0.6432  0.0694  0.07
Nd  0.3568  0.3568  0.9306  0.07
Sm  0.9960  0.9960  0.1912  0.02
Sm  0.0040  0.0040  0.8088  0.02

- ΔE to the lowest computed polymorph: 16 meV per atom
- Total magnetization: 0.4 μB/f.u.
- Space-group type: No. 12


# 10
Compound: Sr2CdH6Pt
Source: OQMD via LeMat-Bulk
Functional: PBE-GGA
Structure: optimized geometry

a = 5.6406 Å, b = 5.6406 Å, c = 5.6406 Å
α = 60.00°, β = 60.00°, γ = 60.00°
Fractional positions:
Cd  0.5000  0.5000  0.5000
H  0.7769  0.2231  0.2231
H  0.2231  0.7769  0.2231
H  0.7769  0.7769  0.2231
H  0.2231  0.2231  0.7769
H  0.7769  0.2231  0.7769
H  0.2231  0.7769  0.7769
Pt  0.0000  0.0000  0.0000
Sr  0.2500  0.2500  0.2500
Sr  0.7500  0.7500  0.7500

- Total magnetization: 0.0 μB/f.u.
- Total DFT energy (no corrections): -33.957 eV/f.u.
- Space-group type: No. 225


# 11
Compound: SmScPt
Source: OQMD via LeMat-Bulk
Functional: PBE-GGA
Structure: optimized geometry

a = 4.6251 Å, b = 4.6251 Å, c = 4.6251 Å
α = 60.00°, β = 60.00°, γ = 60.00°
Fractional positions:
Pt  0.2500  0.2500  0.2500
Sc  0.0000  0.0000  0.0000
Sm  0.7500  0.7500  0.7500

- ΔE to the lowest computed polymorph: 0 meV per atom
- Total magnetization: 0.0 μB/f.u.
- Formation energy from the elements: -0.23 eV/atom
- Space-group type: No. 216


# 12
Compound: LiNbCuB
Source: OQMD via LeMat-Bulk
Functional: PBE-GGA
Structure: optimized geometry

a = 3.9958 Å, b = 3.9958 Å, c = 3.9958 Å
α = 60.00°, β = 60.00°, γ = 60.00°
Fractional positions:
B  0.0000  0.0000  0.0000
Cu  0.7500  0.7500  0.7500
Li  0.5000  0.5000  0.5000
Nb  0.2500  0.2500  0.2500

- ΔE to the lowest computed polymorph: 0 meV per atom
- Total magnetization: 0.0 μB/f.u.
- Space-group type: No. 216


# 13
Compound: NbCuSiIr
Source: OQMD via LeMat-Bulk
Functional: PBE-GGA
Structure: optimized geometry

a = 4.3539 Å, b = 4.3539 Å, c = 4.3539 Å
α = 60.00°, β = 60.00°, γ = 60.00°
Fractional positions:
Cu  0.7500  0.7500  0.7500
Ir  0.5000  0.5000  0.5000
Nb  0.2500  0.2500  0.2500
Si  0.0000  0.0000  0.0000

- ΔE to the lowest computed polymorph: 14 meV per atom
- Total magnetization: 0.0 μB/f.u.
- Space-group type: No. 216


# 14
Compound: CoBr
Source: OQMD via LeMat-Bulk
Functional: PBE-GGA
Structure: optimized geometry

a = 3.2169 Å, b = 4.5494 Å, c = 3.2316 Å
α = 90.00°, β = 90.00°, γ = 45.00°
Fractional positions:
Br  0.0000  0.0000  0.0000
Co  0.0000  0.5000  0.5000

- ΔE to the lowest computed polymorph: 430 meV per atom
- Total magnetization: 2.0 μB/f.u.
- Space-group type: No. 123


# 15
Compound: AcTaSn
Source: OQMD via LeMat-Bulk
Functional: PBE-GGA
Structure: optimized geometry

a = 5.3216 Å, b = 5.3216 Å, c = 5.3216 Å
α = 60.00°, β = 60.00°, γ = 60.00°
Fractional positions:
Ac  0.0000  0.0000  0.0000
Sn  0.2500  0.2500  0.2500
Ta  0.7500  0.7500  0.7500

- ΔE to the lowest computed polymorph: 657 meV per atom
- Total magnetization: 3.1 μB/f.u.
- Space-group type: No. 216


# 16
Compound: AcMg2Ir2
Source: OQMD via LeMat-Bulk
Functional: PBE-GGA
Structure: optimized geometry

a = 6.6301 Å, b = 6.6301 Å, c = 6.6301 Å
α = 142.24°, β = 142.24°, γ = 54.47°
Fractional positions:
Ac  0.0000  0.0000  0.0000
Ir  0.3933  0.3933  0.0000
Ir  0.6067  0.6067  0.0000
Mg  0.7500  0.2500  0.5000
Mg  0.2500  0.7500  0.5000

- Total magnetization: 0.0 μB/f.u.
- Total DFT energy (no corrections): -27.360 eV/f.u.
- Space-group type: No. 139


# 17
Compound: TbTeMo
Source: OQMD via LeMat-Bulk
Functional: PBE-GGA
Structure: optimized geometry

a = 4.7016 Å, b = 4.7016 Å, c = 4.7016 Å
α = 60.00°, β = 60.00°, γ = 60.00°
Fractional positions:
Mo  0.0000  0.0000  0.0000
Tb  0.2500  0.2500  0.2500
Te  0.7500  0.7500  0.7500

- ΔE to the lowest computed polymorph: 0 meV per atom
- Total magnetization: 1.2 μB/f.u.
- Space-group type: No. 216


# 18
Compound: Hf2Sn
Source: OQMD via LeMat-Bulk
Functional: PBE-GGA
Structure: optimized geometry

a = 8.9499 Å, b = 8.9499 Å, c = 8.9499 Å
α = 60.00°, β = 60.00°, γ = 60.00°
Site moments in Bohr magnetons follow the coordinates.
Fractional positions:
Hf  0.3750  0.3750  0.3750  0.88
Hf  0.8750  0.3750  0.3750  0.79
Hf  0.3750  0.8750  0.3750  0.90
Hf  0.3750  0.3750  0.8750  0.89
Sn  0.2500  0.2500  0.2500  0.02
Sn  0.5000  0.5000  0.5000  0.02

- Total magnetization: 3.0 μB/f.u.
- Total DFT energy (no corrections): -15.700 eV/f.u.
- Space-group type: No. 227


# 19
Compound: Zr2AlInCu2
Source: OQMD via LeMat-Bulk
Functional: PBE-GGA
Structure: optimized geometry

a = 10.6174 Å, b = 4.3333 Å, c = 10.6232 Å
α = 90.00°, β = 109.47°, γ = 90.00°
Fractional positions:
Al  0.7506  0.0000  0.0020
Al  0.1257  0.5000  0.1268
Al  0.4983  0.0000  0.2494
Al  0.2512  0.0000  0.4988
Cu  0.0013  0.0000  0.0074
Cu  0.3737  0.5000  0.1300
Cu  0.7435  0.0000  0.2426
Cu  0.1301  0.5000  0.3732
Cu  0.4930  0.0000  0.4936
Cu  0.8751  0.5000  0.6252
Cu  0.2509  0.0000  0.7436
Cu  0.6317  0.5000  0.8821
In  0.8745  0.5000  0.3730
In  0.6250  0.5000  0.6254
In  0.0007  0.0000  0.7507
In  0.3744  0.5000  0.8753
Zr  0.2499  0.0000  0.0051
Zr  0.6224  0.5000  0.1249
Zr  0.0026  0.0000  0.2500
Zr  0.3729  0.5000  0.3728
Zr  0.7456  0.0000  0.4953
Zr  0.1273  0.5000  0.6202
Zr  0.5022  0.0000  0.7506
Zr  0.8775  0.5000  0.8822

- Total magnetization: 0.0 μB/f.u.
- Total DFT energy (no corrections): -32.563 eV/f.u.
- Space-group type: No. 6


# 20
Compound: Tb3NdS6
Source: OQMD via LeMat-Bulk
Functional: PBE-GGA
Structure: optimized geometry

a = 11.1085 Å, b = 4.0053 Å, c = 11.3924 Å
α = 90.00°, β = 108.60°, γ = 90.00°
Fractional positions:
Nd  0.9526  0.7500  0.3071
Nd  0.0474  0.2500  0.6929
S  0.3967  0.2500  0.0607
S  0.9175  0.2500  0.0957
S  0.1944  0.7500  0.2489
S  0.7388  0.2500  0.2738
S  0.5222  0.7500  0.3885
S  0.1161  0.2500  0.4629
S  0.8839  0.7500  0.5371
S  0.4778  0.2500  0.6115
S  0.2612  0.7500  0.7262
S  0.8056  0.2500  0.7511
S  0.0825  0.7500  0.9043
S  0.6033  0.7500  0.9393
Tb  0.1610  0.2500  0.0858
Tb  0.5619  0.7500  0.1680
Tb  0.3193  0.7500  0.4974
Tb  0.6807  0.2500  0.5026
Tb  0.4381  0.2500  0.8320
Tb  0.8390  0.7500  0.9142

- Total magnetization: 0.0 μB/f.u.
- Total DFT energy (no corrections): -64.285 eV/f.u.
- Space-group type: No. 11


# 21
Compound: BaTl2Au2
Source: OQMD via LeMat-Bulk
Functional: PBE-GGA
Structure: optimized geometry

a = 6.8139 Å, b = 6.8139 Å, c = 6.8139 Å
α = 137.03°, β = 137.03°, γ = 62.39°
Fractional positions:
Au  0.7500  0.2500  0.5000
Au  0.2500  0.7500  0.5000
Ba  0.0000  0.0000  0.0000
Tl  0.3675  0.3675  0.0000
Tl  0.6325  0.6325  0.0000

- ΔE to the lowest computed polymorph: 81 meV per atom
- Space-group type: No. 139


# 22
Compound: LiTaAsO
Source: OQMD via LeMat-Bulk
Functional: PBE-GGA
Structure: optimized geometry

a = 3.3518 Å, b = 6.4377 Å, c = 5.9155 Å
α = 90.00°, β = 90.00°, γ = 90.00°
Fractional positions:
As  0.0000  0.2337  0.3639
As  0.0000  0.7663  0.8639
Li  0.0000  0.6340  0.4059
Li  0.0000  0.3660  0.9059
O  0.5000  0.7821  0.3672
O  0.5000  0.2179  0.8672
Ta  0.5000  0.9962  0.1170
Ta  0.5000  0.0038  0.6170

- ΔE to the lowest computed polymorph: 0 meV per atom
- Total magnetization: 0.0 μB/f.u.
- Space-group type: No. 26


# 23
Compound: LiCdAg2
Source: OQMD via LeMat-Bulk
Functional: PBE-GGA
Structure: optimized geometry

a = 4.6566 Å, b = 6.6067 Å, c = 13.9106 Å
α = 90.00°, β = 90.00°, γ = 90.00°
Fractional positions:
Ag  0.5000  0.2489  0.0000
Ag  0.5000  0.7511  0.0000
Ag  0.9997  0.2511  0.1666
Ag  0.9997  0.7489  0.1666
Ag  0.4997  0.2489  0.3334
Ag  0.4997  0.7511  0.3334
Ag  0.0000  0.2511  0.5000
Ag  0.0000  0.7489  0.5000
Ag  0.5003  0.2489  0.6666
Ag  0.5003  0.7511  0.6666
Ag  0.0003  0.2511  0.8334
Ag  0.0003  0.7489  0.8334
Cd  0.0000  0.0000  0.0000
Cd  0.4997  0.5000  0.1667
Cd  0.9997  0.0000  0.3333
Cd  0.5000  0.5000  0.5000
Cd  0.0003  0.0000  0.6667
Cd  0.5003  0.5000  0.8333
Li  0.0000  0.5000  0.0000
Li  0.4998  0.0000  0.1667
Li  0.9998  0.5000  0.3333
Li  0.5000  0.0000  0.5000
Li  0.0002  0.5000  0.6667
Li  0.5002  0.0000  0.8333

- Total DFT energy (no corrections): -9.197 eV/f.u.
- Space-group type: No. 71


# 24
Compound: ScInFeCu
Source: OQMD via LeMat-Bulk
Functional: PBE-GGA
Structure: optimized geometry

a = 4.4937 Å, b = 4.4937 Å, c = 4.4937 Å
α = 60.00°, β = 60.00°, γ = 60.00°
Site moments in Bohr magnetons follow the coordinates.
Fractional positions:
Cu  0.2500  0.2500  0.2500  0.04
Fe  0.5000  0.5000  0.5000  2.23
In  0.0000  0.0000  0.0000  -0.03
Sc  0.7500  0.7500  0.7500  -0.25

- ΔE to the lowest computed polymorph: 201 meV per atom
- Total magnetization: 2.0 μB/f.u.
- Space-group type: No. 216